# 1
VASP calculation (PBE) on Al2CdB after structural relaxation.

Computed properties:
offset from the most stable computed form: 0 meV/atom
formation enthalpy at 0 K: 0.47 eV per atom
DOS(E_F): 0.678 states/eV per atom

```
data_Al2CdB
_symmetry_space_group_name_H-M 'P 1'
_symmetry_Int_Tables_number 1
_cell_length_a 5.993
_cell_length_b 5.993
_cell_length_c 6.290
_cell_angle_alpha 61.55
_cell_angle_beta 61.55
_cell_angle_gamma 90.00
loop_
_symmetry_equiv_pos_as_xyz
'x,y,z'
loop_
_atom_site_label
_atom_site_type_symbol
_atom_site_fract_x
_atom_site_fract_y
_atom_site_fract_z
Al1 Al 0.250 0.625 0.250
Cd1 Cd 0.750 0.250 0.500
Al2 Al 0.500 0.125 0.250
B1 B 0.250 0.750 0.500
B2 B 0.500 0.500 0.000
Al3 Al 0.375 0.500 0.750
Al4 Al 0.875 0.750 0.750
Cd2 Cd 0.000 0.000 0.000
```

---

# 2
VASP calculation (PBE) on AlCdB after structural relaxation.

Computed properties:
formation enthalpy at 0 K: 0.35 eV per atom
DOS(E_F): 0.290 states/eV per atom

```
data_AlCdB
_symmetry_space_group_name_H-M 'P 1'
_symmetry_Int_Tables_number 1
_cell_length_a 10.908
_cell_length_b 3.164
_cell_length_c 6.122
_cell_angle_alpha 90.00
_cell_angle_beta 90.00
_cell_angle_gamma 90.00
loop_
_symmetry_equiv_pos_as_xyz
'x,y,z'
loop_
_atom_site_label
_atom_site_type_symbol
_atom_site_fract_x
_atom_site_fract_y
_atom_site_fract_z
B1 B 0.500 0.000 0.500
Cd1 Cd 0.110 0.250 0.386
Al1 Al 0.150 0.750 0.778
B2 B 0.000 0.000 0.000
B3 B 0.000 0.500 0.000
Cd2 Cd 0.610 0.250 0.114
Cd3 Cd 0.890 0.750 0.614
Al2 Al 0.650 0.750 0.722
Al3 Al 0.850 0.250 0.222
Cd4 Cd 0.390 0.750 0.886
B4 B 0.500 0.500 0.500
Al4 Al 0.350 0.250 0.278
```

---

# 3
VASP calculation (PBE) on AlCdB after structural relaxation.

Computed properties:
formation enthalpy at 0 K: 0.48 eV per atom
DOS(E_F): 0.223 states/eV per atom

```
data_AlCdB
_symmetry_space_group_name_H-M 'P 1'
_symmetry_Int_Tables_number 1
_cell_length_a 6.639
_cell_length_b 3.809
_cell_length_c 6.870
_cell_angle_alpha 90.00
_cell_angle_beta 90.00
_cell_angle_gamma 90.00
loop_
_symmetry_equiv_pos_as_xyz
'x,y,z'
loop_
_atom_site_label
_atom_site_type_symbol
_atom_site_fract_x
_atom_site_fract_y
_atom_site_fract_z
B1 B 0.294 0.750 0.372
Cd1 Cd 0.060 0.750 0.654
B2 B 0.706 0.250 0.628
Al1 Al 0.134 0.750 0.071
B3 B 0.794 0.750 0.128
Al2 Al 0.634 0.750 0.429
Cd2 Cd 0.440 0.250 0.154
Cd3 Cd 0.560 0.750 0.846
Al3 Al 0.366 0.250 0.571
Cd4 Cd 0.940 0.250 0.346
B4 B 0.206 0.250 0.872
Al4 Al 0.866 0.250 0.929
```

---

# 4
VASP calculation (PBE) on AlCdB after structural relaxation.

Computed properties:
formation enthalpy at 0 K: 0.22 eV per atom
DOS(E_F): 0.325 states/eV per atom

```
data_AlCdB
_symmetry_space_group_name_H-M 'P 1'
_symmetry_Int_Tables_number 1
_cell_length_a 3.022
_cell_length_b 5.718
_cell_length_c 6.027
_cell_angle_alpha 77.74
_cell_angle_beta 89.85
_cell_angle_gamma 73.92
loop_
_symmetry_equiv_pos_as_xyz
'x,y,z'
loop_
_atom_site_label
_atom_site_type_symbol
_atom_site_fract_x
_atom_site_fract_y
_atom_site_fract_z
Cd1 Cd 0.862 0.088 0.329
Al1 Al 0.639 0.536 0.526
Cd2 Cd 0.362 0.088 0.829
B1 B 0.134 0.545 0.794
B2 B 0.589 0.631 0.863
Al2 Al 0.085 0.640 0.132
```

---

# 5
VASP calculation (PBE) on AlCdB2 after structural relaxation.

Computed properties:
offset from the most stable computed form: 0 meV/atom
formation enthalpy at 0 K: 0.88 eV per atom
DOS(E_F): 0.389 states/eV per atom

```
data_AlCdB2
_symmetry_space_group_name_H-M 'P 1'
_symmetry_Int_Tables_number 1
_cell_length_a 3.940
_cell_length_b 3.940
_cell_length_c 7.789
_cell_angle_alpha 75.35
_cell_angle_beta 75.35
_cell_angle_gamma 90.00
loop_
_symmetry_equiv_pos_as_xyz
'x,y,z'
loop_
_atom_site_label
_atom_site_type_symbol
_atom_site_fract_x
_atom_site_fract_y
_atom_site_fract_z
Al1 Al 0.500 0.500 0.000
Al2 Al 0.250 0.750 0.500
B1 B 0.875 0.723 0.750
Cd1 Cd 0.750 0.250 0.500
B2 B 0.277 0.625 0.250
B3 B 0.375 0.527 0.750
Cd2 Cd 0.000 0.000 0.000
B4 B 0.473 0.125 0.250
```

---

# 6
VASP calculation (PBE) on Al2CdBF after structural relaxation.

Computed properties:
formation energy (no corrections): 3.84 eV per formula unit
DOS(E_F): 0.586 states/eV per atom

```
data_Al2CdBF
_symmetry_space_group_name_H-M 'P 1'
_symmetry_Int_Tables_number 1
_cell_length_a 5.277
_cell_length_b 4.158
_cell_length_c 5.277
_cell_angle_alpha 90.00
_cell_angle_beta 90.00
_cell_angle_gamma 90.00
loop_
_symmetry_equiv_pos_as_xyz
'x,y,z'
loop_
_atom_site_label
_atom_site_type_symbol
_atom_site_fract_x
_atom_site_fract_y
_atom_site_fract_z
B1 B 0.000 0.500 0.000
Al1 Al 0.000 0.000 0.500
Cd1 Cd 0.000 0.000 0.000
F1 F 0.500 0.500 0.500
Al2 Al 0.500 0.000 0.000
```